! Nd5TmBi6, relaxed, DFT PBE-GGA; values from VASP
&SYSTEM
  ibrav = 0, nat = 12, ntyp = 3
/
ATOMIC_SPECIES
Nd 144.24 Nd.upf
Tm 168.93 Tm.upf
Bi 208.98 Bi.upf
ATOMIC_POSITIONS angstrom
Nd 0.000 0.000 0.000
Nd 2.641 4.596 3.741
Nd 3.968 2.329 0.000
Nd 3.968 -2.329 0.000
Nd 2.641 -4.596 3.741
Tm 2.641 0.000 3.741
Bi 1.348 2.249 1.907
Bi 0.049 0.000 5.594
Bi 1.348 -2.249 1.907
Bi 3.934 2.249 5.575
Bi 5.233 0.000 1.887
Bi 3.934 -2.249 5.575
CELL_PARAMETERS angstrom
3.968 -6.875 0.000
3.968 6.875 0.000
-2.653 0.000 7.481
! Formation energy from the elements ... -10.999 eV per formula unit